[1]
# PBE Nd8In, relaxed
data_Nd8In
_space_group_name_H-M_alt 'I 4/m m m'
_space_group_IT_number 139
_space_group_name_Hall '-I 4 2'
_cell_length_a 10.9451
_cell_length_b 10.9451
_cell_length_c 5.0555
_cell_angle_alpha 90.00
_cell_angle_beta 90.00
_cell_angle_gamma 90.00
loop_
_atom_site_label
_atom_site_type_symbol
_atom_site_fract_x
_atom_site_fract_y
_atom_site_fract_z
Nd1 Nd 0.0000 0.3322 0.0000
Nd2 Nd 0.1606 0.1606 0.5000
In1 In 0.0000 0.0000 0.0000
# Energy of formation in eV per atom: -0.0717
# Crystal system: tetragonal
# Energy in eV per atom: -4.61
# Calculated volume in Å³/cell: 605.6

=====

[2]
# PBE Nd5In4, relaxed
data_Nd5In4
_space_group_name_H-M_alt 'P 63/m c m'
_space_group_IT_number 193
_space_group_name_Hall '-P 6c 2'
_cell_length_a 9.6465
_cell_length_b 9.6465
_cell_length_c 6.7660
_cell_angle_alpha 90.00
_cell_angle_beta 90.00
_cell_angle_gamma 120.00
loop_
_atom_site_label
_atom_site_type_symbol
_atom_site_fract_x
_atom_site_fract_y
_atom_site_fract_z
Nd1 Nd 0.0000 0.2924 0.2500
Nd2 Nd 0.3333 0.6667 0.0000
In1 In 0.0000 0.0000 0.0000
In2 In 0.0000 0.3675 0.7500
# Energy of formation in eV per atom: -0.4299
# Crystal system: hexagonal
# Energy in eV per atom: -4.30
# Calculated volume in Å³/cell: 545.3

=====

[3]
# PBE NdIn7, relaxed
data_NdIn7
_space_group_name_H-M_alt 'F m -3 m'
_space_group_IT_number 225
_space_group_name_Hall '-F 4 2 3'
_cell_length_a 9.5151
_cell_length_b 9.5151
_cell_length_c 9.5151
_cell_angle_alpha 90.00
_cell_angle_beta 90.00
_cell_angle_gamma 90.00
loop_
_atom_site_label
_atom_site_type_symbol
_atom_site_fract_x
_atom_site_fract_y
_atom_site_fract_z
Nd1 Nd 0.0000 0.0000 0.0000
In1 In 0.0000 0.0000 0.5000
In2 In 0.0000 0.2500 0.2500
# Energy of formation in eV per atom: -0.1890
# Crystal system: cubic
# Energy in eV per atom: -3.18
# Calculated volume in Å³/cell: 861.5

=====

[4]
# PBE Nd2In3, relaxed
data_Nd2In3
_space_group_name_H-M_alt 'P 4/m'
_space_group_IT_number 83
_cell_length_a 7.8111
_cell_length_b 7.8111
_cell_length_c 4.6261
_cell_angle_alpha 90.00
_cell_angle_beta 90.00
_cell_angle_gamma 90.00
loop_
_space_group_symop_operation_xyz
'x,y,z'
'-x,-y,-z'
'-y,x,z'
'y,-x,-z'
'-x,-y,z'
'x,y,-z'
'y,-x,z'
'-y,x,-z'
loop_
_atom_site_label
_atom_site_type_symbol
_atom_site_fract_x
_atom_site_fract_y
_atom_site_fract_z
Nd1 Nd 0.1255 0.6984 0.0000
In1 In 0.0000 0.0000 0.5000
In2 In 0.1949 0.4044 0.5000
In3 In 0.5000 0.5000 0.0000
# Energy above the most stable polymorph in this dataset in eV per atom: 0.0000
# Energy of formation in eV per atom: -0.4472
# Crystal system: tetragonal
# Energy in eV per atom: -4.00
# Calculated volume in Å³/cell: 282.2